Rb3MnAg2Cl6 after structural relaxation. Source: the Alexandria database, functional PBE-GGA.

Geometry as CIF:
```
data_Rb3MnAg2Cl6
_chemical_formula_sum 'Rb3 Mn1 Ag2 Cl6'
_symmetry_space_group_name_H-M 'P -3 m 1'
_symmetry_Int_Tables_number 164
_symmetry_space_group_name_Hall '-P 3 2"'
_cell_length_a 7.3972
_cell_length_b 7.3972
_cell_length_c 8.2179
_cell_angle_alpha 90.00
_cell_angle_beta 90.00
_cell_angle_gamma 120.00
loop_
_atom_site_label
_atom_site_type_symbol
_atom_site_fract_x
_atom_site_fract_y
_atom_site_fract_z
Rb1 Rb 0.0000 0.0000 0.0000
Rb2 Rb 0.3333 0.6667 0.6302
Mn1 Mn 0.0000 0.0000 0.5000
Ag1 Ag 0.3333 0.6667 0.1398
Cl1 Cl 0.1591 0.3182 0.3163
```

## Properties
The value obtained for the energy relative to the elements, uncorrected is -25.57 kcal/mol of atoms. For the electronic total energy, the calculation gives -3.513 eV/atom. The value obtained for the volume is 389.4 Å³/f.u.